Record 1
This record from the Alexandria database describes NpSbPdPt after structural relaxation. The functional is PBE.

a = 4.8622 Å, b = 4.8622 Å, c = 4.8622 Å
α = 60.00°, β = 60.00°, γ = 60.00°
Last column: nearest neighbours and their distance in Å.
Fractional coordinates of all 4 atoms:
Np (0.0000, 0.0000, 0.0000)  4 Pt 2.98, 4 Sb 2.98
Sb (0.7500, 0.7500, 0.7500)  4 Np 2.98, 4 Pd 2.98
Pd (0.5000, 0.5000, 0.5000)  4 Pt 2.98, 4 Sb 2.98
Pt (0.2500, 0.2500, 0.2500)  4 Pd 2.98, 4 Np 2.98

Computed properties:
V   20.3 Å³ per atom
N(E_F)   9.2 states/eV/cell
E_form (uncorrected)   -0.249 eV per atom
VASP energy   -29.29 eV per formula unit
Symmetry   F-43m

---

Record 2
This record from the Alexandria database describes Np2Si3PdPt12 after structural relaxation. The functional is PBE.

a = 7.5011 Å, b = 7.5011 Å, c = 7.5011 Å
α = 66.73°, β = 66.73°, γ = 66.73°
Last column: nearest neighbours and their distance in Å.
Fractional coordinates of all 18 atoms:
Np (0.6105, 0.6105, 0.6105)  6 Pt 2.70-2.82
Np (0.3895, 0.3895, 0.3895)  6 Pt 2.70-2.82
Si (0.5000, 0.0000, 0.0000)  6 Pt 2.35-2.41
Si (0.0000, 0.5000, 0.0000)  6 Pt 2.35-2.41
Si (0.0000, 0.0000, 0.5000)  6 Pt 2.35-2.41
Pd (0.0000, 0.0000, 0.0000)  6 Pt 2.60
Pt (0.3614, 0.3614, 0.8929)  2 Si 2.41
Pt (0.8540, 0.8540, 0.3871)  1 Si 2.35, 1 Pd 2.60
Pt (0.3871, 0.8540, 0.8540)  1 Si 2.35, 1 Pd 2.60
Pt (0.8929, 0.3614, 0.3614)  2 Si 2.41
Pt (0.8540, 0.3871, 0.8540)  1 Si 2.35, 1 Pd 2.60
Pt (0.3614, 0.8929, 0.3614)  2 Si 2.41
Pt (0.6386, 0.6386, 0.1071)  2 Si 2.41
Pt (0.1460, 0.1460, 0.6129)  1 Si 2.35, 1 Pd 2.60
Pt (0.6129, 0.1460, 0.1460)  1 Si 2.35, 1 Pd 2.60
Pt (0.1071, 0.6386, 0.6386)  2 Si 2.41
Pt (0.1460, 0.6129, 0.1460)  1 Si 2.35, 1 Pd 2.60
Pt (0.6386, 0.1071, 0.6386)  2 Si 2.41

Computed properties:
V   19.0 Å³ per atom
N(E_F)   19.2 states/eV/cell
E_form (uncorrected)   -0.293 eV per atom
VASP energy   -125.11 eV per formula unit
Symmetry   R-3m

---

Record 3
This record from the Alexandria database describes Np2Si3PdPt4 after structural relaxation. The functional is PBE.

a = 3.9963 Å, b = 3.9963 Å, c = 11.1736 Å
α = 90.00°, β = 90.00°, γ = 90.00°
Last column: nearest neighbours and their distance in Å.
Fractional coordinates of all 10 atoms:
Np (0.5000, 0.0000, 0.2537)  4 Pt 2.98, 4 Si 3.16
Np (0.0000, 0.5000, 0.7463)  4 Pt 2.98, 4 Si 3.16
Si (0.0000, 0.0000, 0.5000)  4 Pt 2.70, 4 Pd 2.83
Si (0.5000, 0.0000, 0.8720)  5 Pt 2.34-2.46
Si (0.0000, 0.5000, 0.1280)  5 Pt 2.34-2.46
Pd (0.5000, 0.5000, 0.5000)  4 Pt 2.70, 4 Si 2.83
Pt (0.5000, 0.5000, 0.0000)  4 Si 2.46
Pt (0.0000, 0.0000, 0.0000)  4 Si 2.46
Pt (0.5000, 0.0000, 0.6627)  1 Si 2.34
Pt (0.0000, 0.5000, 0.3373)  1 Si 2.34

Computed properties:
V   17.8 Å³ per atom
N(E_F)   18.8 states/eV/cell
E_form (uncorrected)   -0.661 eV per atom
VASP energy   -78.12 eV per formula unit
Symmetry   P-4m2

---

Record 4
This record from the Alexandria database describes NpSnPdPt after structural relaxation. The functional is PBE.

a = 4.8393 Å, b = 4.8393 Å, c = 4.8393 Å
α = 60.00°, β = 60.00°, γ = 60.00°
Last column: nearest neighbours and their distance in Å.
Fractional coordinates of all 4 atoms:
Np (0.5000, 0.5000, 0.5000)  4 Pd 2.96, 4 Pt 2.96
Pd (0.2500, 0.2500, 0.2500)  4 Sn 2.96, 4 Np 2.96
Sn (0.0000, 0.0000, 0.0000)  4 Pd 2.96, 4 Pt 2.96
Pt (0.7500, 0.7500, 0.7500)  4 Sn 2.96, 4 Np 2.96

Computed properties:
V   20.0 Å³ per atom
N(E_F)   10.7 states/eV/cell
Formation enthalpy at 0 K   -1.74 eV/f.u.
VASP energy   -29.92 eV per formula unit
Symmetry   F-43m

---

Record 5
This record from the Alexandria database describes NpTlPdPt after structural relaxation. The functional is PBE.

a = 4.8726 Å, b = 4.8726 Å, c = 4.8726 Å
α = 60.00°, β = 60.00°, γ = 60.00°
Last column: nearest neighbours and their distance in Å.
Fractional coordinates of all 4 atoms:
Np (0.5000, 0.5000, 0.5000)  4 Pd 2.98, 4 Pt 2.98
Tl (0.0000, 0.0000, 0.0000)  4 Pt 2.98, 4 Pd 2.98
Pd (0.7500, 0.7500, 0.7500)  4 Tl 2.98, 4 Np 2.98
Pt (0.2500, 0.2500, 0.2500)  4 Tl 2.98, 4 Np 2.98

Computed properties:
V   20.5 Å³ per atom
N(E_F)   10.6 states/eV/cell
Formation enthalpy at 0 K   -0.97 eV/f.u.
VASP energy   -27.52 eV per formula unit
Symmetry   F-43m

---

Record 6
This record from the Alexandria database describes NpUPdPt after structural relaxation. The functional is PBE.

a = 4.7175 Å, b = 4.7175 Å, c = 4.7175 Å
α = 60.00°, β = 60.00°, γ = 60.00°
Last column: nearest neighbours and their distance in Å.
Fractional coordinates of all 4 atoms:
Np (0.2500, 0.2500, 0.2500)  4 Pd 2.89, 4 U 2.89
U (0.5000, 0.5000, 0.5000)  4 Np 2.89, 4 Pt 2.89
Pd (0.0000, 0.0000, 0.0000)  4 Pt 2.89, 4 Np 2.89
Pt (0.7500, 0.7500, 0.7500)  4 U 2.89, 4 Pd 2.89

Computed properties:
V   18.6 Å³ per atom
N(E_F)   4.9 states/eV/cell
Formation enthalpy at 0 K   -2.31 eV/f.u.
VASP energy   -37.77 eV per formula unit
Symmetry   F-43m

---

Record 7
This record from the Alexandria database describes PuNpPd2 after structural relaxation. The functional is PBE.

a = 3.5424 Å, b = 3.5424 Å, c = 6.8777 Å
α = 90.00°, β = 90.00°, γ = 90.00°
Last column: nearest neighbours and their distance in Å.
Fractional coordinates of all 4 atoms:
Np (0.5000, 0.5000, 0.0000)  8 Pd 3.01
Pd (0.0000, 0.0000, 0.7577)  4 Np 3.01, 4 Pu 3.07, 1 Pd 3.33
Pd (0.0000, 0.0000, 0.2423)  4 Np 3.01, 4 Pu 3.07, 1 Pd 3.33
Pu (0.5000, 0.5000, 0.5000)  8 Pd 3.07

Computed properties:
V   21.6 Å³ per atom
N(E_F)   16.6 states/eV/cell
Formation enthalpy at 0 K   -0.86 eV/f.u.
E above lowest polymorph   0 meV/atom
VASP energy   -38.52 eV per formula unit
Symmetry   P4/mmm

---

Record 8
This record from the Alexandria database describes Pu2NpPd after structural relaxation. The functional is PBE.

a = 3.3975 Å, b = 3.3975 Å, c = 7.1620 Å
α = 90.00°, β = 90.00°, γ = 90.00°
Last column: nearest neighbours and their distance in Å.
Fractional coordinates of all 4 atoms:
Np (0.5000, 0.5000, 0.0000)  8 Pu 3.01
Pd (0.5000, 0.5000, 0.5000)  8 Pu 2.98
Pu (0.0000, 0.0000, 0.7472)  4 Pd 2.98, 4 Np 3.01
Pu (0.0000, 0.0000, 0.2528)  4 Pd 2.98, 4 Np 3.01

Computed properties:
V   20.7 Å³ per atom
N(E_F)   15.6 states/eV/cell
Formation enthalpy at 0 K   0.19 eV/f.u.
E above lowest polymorph   0 meV/atom
VASP energy   -46.61 eV per formula unit
Symmetry   P4/mmm

---

Record 9
This record from the Alexandria database describes Pu2NpPd after structural relaxation. The functional is PBE.

a = 3.7475 Å, b = 3.7475 Å, c = 6.8512 Å
α = 74.13°, β = 74.13°, γ = 60.00°
Last column: nearest neighbours and their distance in Å.
Fractional coordinates of all 4 atoms:
Np (0.0000, 0.0000, 0.0000)  6 Pu 2.53
Pd (0.5000, 0.5000, 0.5000)  6 Pu 2.91
Pu (0.2663, 0.2663, 0.2011)  3 Np 2.53
Pu (0.7337, 0.7337, 0.7989)  3 Np 2.53

Computed properties:
V   19.8 Å³ per atom
N(E_F)   11.4 states/eV/cell
Formation enthalpy at 0 K   0.94 eV/f.u.
E above lowest polymorph   188 meV/atom
VASP energy   -45.86 eV per formula unit
Symmetry   R-3m

---

Record 10
This record from the Alexandria database describes PuNpPd2 after structural relaxation. The functional is PBE.

a = 2.9362 Å, b = 2.9362 Å, c = 10.3867 Å
α = 81.87°, β = 81.87°, γ = 60.00°
Last column: nearest neighbours and their distance in Å.
Fractional coordinates of all 4 atoms:
Np (0.0000, 0.0000, 0.0000)  6 Np 2.94, 6 Pd 3.08
Pd (0.2498, 0.2498, 0.2506)  6 Pd 2.94, 3 Pu 3.07, 3 Np 3.08
Pd (0.7502, 0.7502, 0.7494)  6 Pd 2.94, 3 Pu 3.07, 3 Np 3.08
Pu (0.5000, 0.5000, 0.5000)  6 Pu 2.94, 6 Pd 3.07

Computed properties:
V   19.1 Å³ per atom
N(E_F)   8.3 states/eV/cell
Formation enthalpy at 0 K   -0.28 eV/f.u.
E above lowest polymorph   145 meV/atom
VASP energy   -37.94 eV per formula unit
Symmetry   R-3m

---

Record 11
This record from the Alexandria database describes Pu2NpPd after structural relaxation. The functional is PBE.

a = 2.9929 Å, b = 5.2437 Å, c = 5.2437 Å
α = 90.00°, β = 90.00°, γ = 90.00°
Last column: nearest neighbours and their distance in Å.
Fractional coordinates of all 4 atoms:
Np (0.5000, 0.5000, 0.5000)  2 Np 2.99, 8 Pu 3.02
Pd (0.5000, 0.0000, 0.0000)  2 Pd 2.99, 8 Pu 3.02
Pu (0.0000, 0.0000, 0.5000)  2 Pu 2.99, 4 Np 3.02, 4 Pd 3.02
Pu (0.0000, 0.5000, 0.0000)  2 Pu 2.99, 4 Np 3.02, 4 Pd 3.02

Computed properties:
V   20.6 Å³ per atom
N(E_F)   10.3 states/eV/cell
Formation enthalpy at 0 K   0.20 eV/f.u.
E above lowest polymorph   2 meV/atom
VASP energy   -46.60 eV per formula unit
Symmetry   P4/mmm

---

Record 12
This record from the Alexandria database describes Pu3NpPd12 after structural relaxation. The functional is PBE.

a = 4.1407 Å, b = 4.1407 Å, c = 16.6751 Å
α = 90.00°, β = 90.00°, γ = 90.00°
Last column: nearest neighbours and their distance in Å.
Fractional coordinates of all 16 atoms:
Pu (0.0000, 0.0000, 0.2504)  12 Pd 2.93-2.97
Pu (0.0000, 0.0000, 0.5000)  12 Pd 2.93-2.94
Pu (0.0000, 0.0000, 0.7496)  12 Pd 2.93-2.97
Np (0.0000, 0.0000, 0.0000)  12 Pd 2.92-2.93
Pd (0.5000, 0.5000, 0.0000)  8 Pd 2.92, 4 Np 2.93
Pd (0.5000, 0.5000, 0.2490)  4 Pu 2.93, 8 Pd 2.95
Pd (0.5000, 0.5000, 0.5000)  4 Pu 2.93, 8 Pd 2.94
Pd (0.5000, 0.5000, 0.7510)  4 Pu 2.93, 8 Pd 2.95
Pd (0.5000, 0.0000, 0.1232)  2 Np 2.92, 8 Pd 2.92-2.95, 2 Pu 2.97
Pd (0.5000, 0.0000, 0.3750)  8 Pd 2.93-2.95, 4 Pu 2.93-2.94
Pd (0.5000, 0.0000, 0.6250)  8 Pd 2.93-2.95, 4 Pu 2.93-2.94
Pd (0.5000, 0.0000, 0.8768)  2 Np 2.92, 8 Pd 2.92-2.95, 2 Pu 2.97
Pd (0.0000, 0.5000, 0.1232)  2 Np 2.92, 8 Pd 2.92-2.95, 2 Pu 2.97
Pd (0.0000, 0.5000, 0.3750)  8 Pd 2.93-2.95, 4 Pu 2.93-2.94
Pd (0.0000, 0.5000, 0.6250)  8 Pd 2.93-2.95, 4 Pu 2.93-2.94
Pd (0.0000, 0.5000, 0.8768)  2 Np 2.92, 8 Pd 2.92-2.95, 2 Pu 2.97

Computed properties:
V   17.9 Å³ per atom
N(E_F)   68.3 states/eV/cell
Formation enthalpy at 0 K   -8.38 eV/f.u.
VASP energy   -126.63 eV per formula unit
Symmetry   P4/mmm

---

What did the ninth record say?
This record from the Alexandria database describes Pu2NpPd after structural relaxation. The functional is PBE.

a = 3.7475 Å, b = 3.7475 Å, c = 6.8512 Å
α = 74.13°, β = 74.13°, γ = 60.00°
Last column: nearest neighbours and their distance in Å.
Fractional coordinates of all 4 atoms:
Np (0.0000, 0.0000, 0.0000)  6 Pu 2.53
Pd (0.5000, 0.5000, 0.5000)  6 Pu 2.91
Pu (0.2663, 0.2663, 0.2011)  3 Np 2.53
Pu (0.7337, 0.7337, 0.7989)  3 Np 2.53

Computed properties:
V   19.8 Å³ per atom
N(E_F)   11.4 states/eV/cell
Formation enthalpy at 0 K   0.94 eV/f.u.
E above lowest polymorph   188 meV/atom
VASP energy   -45.86 eV per formula unit
Symmetry   R-3m

---

> What is the N(E_F) in the first record?

9.2 states/eV/cell